(1)
VASP calculation (PBE-GGA) on an optimized crystal structure of ZrTiFeMo.

Properties
Raw total energy = -36.0 eV for the cell shown
Space group = F-43m, No. 216

Unit cell a=4.4907 b=4.4907 c=4.4907 alpha=60.00 beta=60.00 gamma=60.00
With the nearest neighbours (Å) after each atom.
Fractional coordinates of all 4 atoms:
1 Zr 0.0000 0.0000 0.0000  4 Mo 2.75, 4 Fe 2.75
2 Ti 0.5000 0.5000 0.5000  4 Mo 2.75, 4 Fe 2.75
3 Fe 0.2500 0.2500 0.2500  4 Zr 2.75, 4 Ti 2.75
4 Mo 0.7500 0.7500 0.7500  4 Ti 2.75, 4 Zr 2.75



(2)
VASP calculation (PBE-GGA) on an optimized crystal structure of TlFeMo2.

Properties
Raw total energy = -29.9 eV for the cell shown
Space group = C2/m, No. 12
Energy above the lowest structure with this stoichiometry = 78 kJ/mol of formula units

Unit cell a=5.3192 b=5.3192 c=2.7891 alpha=98.16 beta=98.16 gamma=118.47
With the nearest neighbours (Å) after each atom.
Fractional coordinates of all 4 atoms:
1 Tl 0.0000 0.0000 0.0000  2 Fe 2.72, 2 Tl 2.79, 4 Mo 2.82
2 Fe 0.5000 0.5000 0.0000  2 Tl 2.72, 2 Fe 2.79, 4 Mo 2.82
3 Mo 0.0000 0.5000 0.5000  4 Mo 2.72-2.79, 2 Tl 2.82, 2 Fe 2.82
4 Mo 0.5000 0.0000 0.5000  4 Mo 2.72-2.79, 2 Tl 2.82, 2 Fe 2.82



(3)
VASP calculation (PBE-GGA) on an optimized crystal structure of TlFeMo2.

Properties
Raw total energy = -30.1 eV for the cell shown
Space group = R3m, No. 160
Energy above the lowest structure with this stoichiometry = 61 kJ/mol of formula units

Unit cell a=8.5802 b=8.5802 c=8.5802 alpha=20.86 beta=20.86 gamma=20.86
With the nearest neighbours (Å) after each atom.
Fractional coordinates of all 4 atoms:
1 Tl 0.0000 0.0000 0.0000  3 Fe 2.86, 3 Mo 3.06, 6 Tl 3.11
2 Fe 0.7554 0.7554 0.7554  3 Mo 2.56, 3 Tl 2.86
3 Mo 0.2351 0.2351 0.2351  3 Mo 2.58
4 Mo 0.4947 0.4947 0.4947  3 Fe 2.56, 3 Mo 2.58



(4)
VASP calculation (PBE-GGA) on an optimized crystal structure of TlFeMo2.

Properties
Raw total energy = -29.8 eV for the cell shown
Space group = F-43m, No. 216
Energy above the lowest structure with this stoichiometry = 87 kJ/mol of formula units

Unit cell a=4.5347 b=4.5347 c=4.5347 alpha=60.00 beta=60.00 gamma=60.00
With the nearest neighbours (Å) after each atom.
Fractional coordinates of all 4 atoms:
1 Tl 0.0000 0.0000 0.0000  4 Fe 2.78, 4 Mo 2.78
2 Fe 0.7500 0.7500 0.7500  4 Mo 2.78, 4 Tl 2.78
3 Mo 0.2500 0.2500 0.2500  4 Mo 2.78, 4 Tl 2.78
4 Mo 0.5000 0.5000 0.5000  4 Mo 2.78, 4 Fe 2.78



(5)
VASP calculation (PBE-GGA) on an optimized crystal structure of TlFeMo2.

Properties
Raw total energy = -30.6 eV for the cell shown
Space group = P4/mmm, No. 123
Energy above the lowest structure with this stoichiometry = 12 kJ/mol of formula units

Unit cell a=3.2887 b=3.2887 c=6.2608 alpha=90.00 beta=90.00 gamma=90.00
With the nearest neighbours (Å) after each atom.
Fractional coordinates of all 4 atoms:
1 Tl 0.0000 0.0000 0.0000  8 Mo 3.02, 2 Fe 3.13, 4 Tl 3.29
2 Fe 0.0000 0.0000 0.5000  8 Mo 2.62
3 Mo 0.5000 0.5000 0.3072  1 Mo 2.41, 4 Fe 2.62
4 Mo 0.5000 0.5000 0.6928  1 Mo 2.41, 4 Fe 2.62



(6)
VASP calculation (PBE-GGA) on an optimized crystal structure of TlFeMo2.

Properties
Raw total energy = -30.4 eV for the cell shown
Space group = I4/mmm, No. 139
Energy above the lowest structure with this stoichiometry = 34 kJ/mol of formula units

Unit cell a=5.1111 b=5.1111 c=5.1111 alpha=135.39 beta=135.39 gamma=64.92
With the nearest neighbours (Å) after each atom.
Fractional coordinates of all 4 atoms:
1 Tl 0.0000 0.0000 0.0000  4 Fe 2.74, 8 Mo 2.90
2 Fe 0.5000 0.5000 0.0000  4 Tl 2.74, 8 Mo 2.90
3 Mo 0.2500 0.7500 0.5000  4 Mo 2.74, 4 Fe 2.90, 4 Tl 2.90
4 Mo 0.7500 0.2500 0.5000  4 Mo 2.74, 4 Fe 2.90, 4 Tl 2.90



Respective E_form values: -6 62 57 64 45 51 kJ per mole of atoms.